A relaxed BaMoO2 crystal. Source: Alexandria via LeMat-Bulk, functional PBE+U.

The energy above the most stable polymorph in this dataset is 34.6 kJ/mol of formula units.

abc: 6.6757 6.6757 6.6757
angles: 36.01 36.01 36.01
Last column: nearest neighbours and their distance in Å.
Element x y z (fractional)
Ba: 0.0000 0.0000 0.0000  6 O 2.69
Mo: 0.5000 0.5000 0.5000  2 O 1.87
O: 0.3999 0.3999 0.3999  1 Mo 1.87
O: 0.6001 0.6001 0.6001  1 Mo 1.87